The following is a PBE calculation of crystalline BaPAu at its relaxed geometry, from Alexandria via LeMat-Bulk.

Results
Fermi-level density of states	0.28	states/eV per cell
crystal system	monoclinic
formation energy from the elements	-0.8111	eV per atom
SG	C2/m, No. 12
VASP energy	-26.086	eV/cell

Cell lengths 6.415, 6.415, 4.460 Å; angles 110.34, 110.34, 91.69 degrees
Atoms (fractional coordinates):
Ba 0.242 0.758 0.000
Ba 0.758 0.242 0.000
P 0.351 0.351 0.351
P 0.649 0.649 0.649
Au 0.181 0.181 0.681
Au 0.819 0.819 0.319

***

The following is a PBE calculation of crystalline HgPN2 at its relaxed geometry, from Alexandria via LeMat-Bulk.

Results
energy relative to the elements, uncorrected	0.90	eV/atom
Fermi-level density of states	1.27	states/eV per cell
crystal system	trigonal
SG	R-3m, No. 166
polymorph energy (0 for the lowest one)	0.657	eV per atom
VASP energy	-18.744	eV/cell

Cell lengths 6.093, 6.093, 6.093 Å; angles 36.53, 36.53, 36.53 degrees
Atoms (fractional coordinates):
Hg 0.000 0.000 0.000
P 0.500 0.500 0.500
N 0.409 0.409 0.409
N 0.591 0.591 0.591

***

The following is a PBE calculation of crystalline MnGaRh3 at its relaxed geometry, from Alexandria via LeMat-Bulk.

Results
Fermi-level density of states	8.82	states/eV per cell
crystal system	cubic
formation energy from the elements	1.1857	eV per atom
SG	Pm-3m, No. 221
polymorph energy (0 for the lowest one)	0.406	eV per atom
VASP energy	-28.322	eV/cell

Cell lengths 4.472, 4.472, 4.472 Å; angles 90.00, 90.00, 90.00 degrees
Atoms (fractional coordinates):
Mn 0.000 0.000 0.000
Ga 0.500 0.500 0.500
Rh 0.000 0.500 0.500
Rh 0.500 0.000 0.500
Rh 0.500 0.500 0.000